Entry from the Alexandria database: crystalline LiH3Rh at its relaxed geometry (PBE).

## Properties
For the final energy, the calculation gives -4.10 eV per atom. Its crystal system is monoclinic. The value obtained for the density of states at the Fermi level is 0.005 states/eV per atom. The value obtained for the total moment is 0.00 μB per cell.

abc: 5.3205 5.3205 5.5552
angles: 94.62 94.62 94.66
Closest atoms and distances in Å follow each position.
Element x y z (fractional)
Li 0.1130 0.8870 0.7500  6 H 1.88-2.05
Li 0.2618 0.7382 0.2500  4 H 1.86-1.93
Li 0.7382 0.2618 0.7500  4 H 1.86-1.93
Li 0.8870 0.1130 0.2500  6 H 1.88-2.05
H 0.0122 0.1924 0.5753  1 Rh 1.62
H 0.1688 0.3819 0.2702  2 Rh 1.73-1.80, 1 Li 1.93
H 0.1924 0.0122 0.0753  1 Rh 1.62
H 0.2889 0.5204 0.9008  3 Rh 1.85-1.97, 1 H 2.06
H 0.3819 0.1688 0.7702  2 Rh 1.73-1.80, 1 Li 1.93
H 0.4796 0.7111 0.5992  3 Rh 1.85-1.97, 1 H 2.06
H 0.5204 0.2889 0.4008  3 Rh 1.85-1.97, 1 H 2.06
H 0.6181 0.8312 0.2298  2 Rh 1.73-1.80, 1 Li 1.93
H 0.7111 0.4796 0.0992  3 Rh 1.85-1.97, 1 H 2.06
H 0.8076 0.9878 0.9247  1 Rh 1.62
H 0.8312 0.6181 0.7298  2 Rh 1.73-1.80, 1 Li 1.93
H 0.9878 0.8076 0.4247  1 Rh 1.62
Rh 0.2564 0.3942 0.5777  3 H 1.62-1.80
Rh 0.3942 0.2564 0.0777  3 H 1.62-1.80
Rh 0.6058 0.7436 0.9223  3 H 1.62-1.80
Rh 0.7436 0.6058 0.4223  3 H 1.62-1.80